Record 1
The following is a DFT calculation (PBE) of a geometry-optimized RbSi2Pb structure.

Output
space group: No. 141
formation energy without anion corrections: 0.4175 eV/atom
total moment: 0.0 μB/f.u.
total energy: -27.70 eV/cell

Cell: 5.163 5.163 10.596 Å, 75.90 75.90 90.00°
Element x y z (fractional)
Pb  0.000  0.000  0.000
Pb  0.750  0.250  0.500
Si  0.875  0.125  0.250
Si  0.875  0.625  0.250
Si  0.375  0.125  0.750
Si  0.875  0.125  0.750
Rb  0.500  0.500  0.000
Rb  0.250  0.750  0.500

Record 2
The following is a DFT calculation (PBE) of a geometry-optimized RbCuHg2Te structure.

Output
space group: No. 123
formation energy without anion corrections: -0.2555 eV/atom
total moment: 0.0 μB/f.u.
total energy: -10.09 eV/cell

Cell: 5.374 5.374 5.422 Å, 90.00 90.00 90.00°
Element x y z (fractional)
Te  0.000  0.000  0.500
Hg  0.000  0.500  0.000
Hg  0.500  0.000  0.000
Rb  0.500  0.500  0.500
Cu  0.000  0.000  0.000

Record 3
The following is a DFT calculation (PBE) of a geometry-optimized LiAgS3 structure.

Output
space group: No. 221
formation energy without anion corrections: 0.5174 eV/atom
total moment: 0.0 μB/f.u.
total energy: -14.56 eV/cell

Cell: 4.477 4.477 4.477 Å, 90.00 90.00 90.00°
Element x y z (fractional)
S  0.000  0.500  0.000
S  0.000  0.000  0.500
S  0.500  0.000  0.000
Ag  0.500  0.500  0.500
Li  0.000  0.000  0.000

Record 4
The following is a DFT calculation (PBE) of a geometry-optimized Tb3Pm3Pr2 structure.

Output
formation enthalpy at 0 K: 0.0288 eV/atom
space group: No. 11
total moment: 0.0 μB/f.u.
total energy: -74.94 eV/cell

Cell: 6.359 8.652 14.718 Å, 90.00 90.00 137.39°
Element x y z (fractional)
Tb  0.584  0.250  0.500
Tb  0.416  0.750  0.000
Tb  0.584  0.250  0.000
Tb  0.416  0.750  0.500
Tb  0.413  0.751  0.250
Tb  0.587  0.249  0.750
Pm  0.916  0.751  0.375
Pm  0.084  0.249  0.875
Pm  0.916  0.751  0.125
Pm  0.084  0.249  0.625
Pm  0.583  0.251  0.250
Pm  0.417  0.749  0.750
Pr  0.919  0.750  0.876
Pr  0.081  0.250  0.376
Pr  0.919  0.750  0.624
Pr  0.081  0.250  0.124

Record 5
The following is a DFT calculation (PBE) of a geometry-optimized Zr2InGa structure.

Output
formation enthalpy at 0 K: -0.0921 eV/atom
space group: No. 122
total moment: 0.0 μB/f.u.
total energy: -46.46 eV/cell

Cell: 7.736 7.736 6.232 Å, 51.64 51.64 90.00°
Element x y z (fractional)
Ga  0.500  0.500  0.000
Ga  0.250  0.750  0.500
Zr  0.610  0.125  0.250
Zr  0.140  0.625  0.250
Zr  0.375  0.390  0.750
Zr  0.875  0.860  0.750
In  0.000  0.000  0.000
In  0.750  0.250  0.500

Record 6
The following is a DFT calculation (PBE) of a geometry-optimized Pr2Al4Zn3Pt structure.

Output
formation enthalpy at 0 K: -0.5750 eV/atom
space group: No. 115
total moment: 0.0 μB/f.u.
total energy: -40.14 eV/cell

Cell: 4.265 4.265 10.771 Å, 90.00 90.00 90.00°
Element x y z (fractional)
Pr  0.500  0.000  0.251
Pr  0.000  0.500  0.749
Al  0.500  0.500  0.000
Al  0.000  0.000  0.000
Al  0.500  0.000  0.627
Al  0.000  0.500  0.373
Zn  0.000  0.000  0.500
Zn  0.500  0.000  0.861
Zn  0.000  0.500  0.139
Pt  0.500  0.500  0.500

Respective volume values: 265; 157; 90; 548; 179; 196 Å³/cell.